[1]
meta-GGA SCAN CaPtRh2, PBEsol geometry; calculated formation energy = -0.025 eV/atom; final energy = -36.87 eV per atom
1.0
2.8590 0.0000 0.0000
0.0000 2.8590 0.0000
0.0000 0.0000 7.9642
Ca Rh Pt
1 2 1
Direct
0.5000 0.5000 0.0000
0.0000 0.0000 0.2798
0.0000 0.0000 0.7202
0.5000 0.5000 0.5000

***

[2]
meta-GGA SCAN CaPtRh2, PBEsol geometry; calculated formation energy = -0.105 eV/atom; final energy = -36.95 eV per atom
1.0
3.2552 0.0000 0.0000
0.0000 3.2552 0.0000
0.0000 0.0000 6.3609
Rh Ca Pt
2 1 1
Direct
0.0000 0.0000 0.0075
0.5000 0.5000 0.2030
0.0000 0.0000 0.5003
0.5000 0.5000 0.7892

***

[3]
meta-GGA SCAN Ca2RuPt, PBEsol geometry; calculated formation energy = -0.166 eV/atom; final energy = -31.25 eV per atom
1.0
-2.9232 -0.8201 -0.3884
0.0137 -2.2081 4.5600
-1.4747 4.7059 1.1617
Ca Pt Ru
2 1 1
Direct
0.0000 0.0000 0.5000
0.0000 0.5000 0.0000
0.5000 0.5000 0.5000
0.5000 0.0000 0.0000

***

[4]
meta-GGA SCAN Ca2RuPt, PBEsol geometry; calculated formation energy = -0.196 eV/atom; final energy = -31.28 eV per atom
1.0
3.6340 0.0000 0.0000
0.0000 4.6046 0.0000
0.0000 0.0000 4.6046
Ca Ru Pt
2 1 1
Direct
0.0000 0.5000 0.0000
0.0000 0.0000 0.5000
0.5000 0.5000 0.5000
0.5000 0.0000 0.0000

***

[5]
meta-GGA SCAN Ca4RuPt, PBEsol geometry; calculated formation energy = 0.849 eV/atom; final energy = -23.10 eV per atom
1.0
-2.6583 4.8096 1.6947
-3.5216 -0.1099 4.5449
1.5543 2.5689 4.9046
Ru Pt Ca
1 1 4
Direct
0.0000 0.0000 0.0000
0.7500 0.7500 0.7500
0.3748 0.8755 0.3748
0.3748 0.3748 0.3748
0.8755 0.3748 0.3748
0.3748 0.3748 0.8755

***

[6]
meta-GGA SCAN CaRuPt, PBEsol geometry; calculated formation energy = 0.953 eV/atom; final energy = -37.27 eV per atom
1.0
-2.5002 -3.2217 -1.5995
0.7402 -4.1477 1.1989
-2.8459 -2.0662 2.6117
Pt Ca Ru
1 1 1
Direct
0.0000 0.0000 0.0000
0.2500 0.2500 0.2500
0.5000 0.5000 0.5000

***

[7]
meta-GGA SCAN CaRu3Pt, PBEsol geometry; calculated formation energy = 1.219 eV/atom; final energy = -35.65 eV per atom
1.0
-0.8847 -3.8023 2.6670
4.2329 0.4572 2.0560
-1.9113 2.7725 3.3186
Pt Ru Ca
1 3 1
Direct
0.0000 0.0000 0.0000
0.0000 0.5000 0.0000
0.0000 0.0000 0.5000
0.5000 0.0000 0.0000
0.5000 0.5000 0.5000

***

[8]
meta-GGA SCAN Ca2RuPt, PBEsol geometry; calculated formation energy = 0.075 eV/atom; final energy = -31.01 eV per atom
1.0
-1.3023 1.5130 2.0311
-3.8262 -2.7415 -0.4111
2.1229 -3.5654 4.0171
Pt Ru Ca
1 1 2
Direct
0.0000 0.0000 0.4755
0.5000 0.5000 0.7723
0.0000 0.0000 0.9526
0.5000 0.5000 0.2996

***

[9]
meta-GGA SCAN CaPtS2, PBEsol geometry; raw formation energy = -0.5226 eV per atom; final energy = -25.30 eV per atom
1.0
4.5790 0.0000 0.0000
2.2895 3.9656 0.0000
2.2895 1.3219 3.7388
S Pt Ca
2 1 1
Direct
0.7500 0.7500 0.7500
0.2500 0.2500 0.2500
0.5000 0.5000 0.5000
0.0000 0.0000 0.0000

***

[10]
meta-GGA SCAN CaSb3Pt, PBEsol geometry; raw formation energy = -0.0763 eV per atom; final energy = -38.40 eV per atom
1.0
-1.4143 0.6871 5.0324
4.2980 -2.6216 1.5658
2.7063 4.5225 0.1431
Pt Sb Ca
1 3 1
Direct
0.0000 0.0000 0.0000
0.0000 0.5000 0.0000
0.0000 0.0000 0.5000
0.5000 0.0000 0.0000
0.5000 0.5000 0.5000

***

[11]
meta-GGA SCAN Ca2ScPt2, PBEsol geometry; calculated formation energy = -1.012 eV/atom; final energy = -35.80 eV per atom
1.0
4.4189 0.0000 0.0000
0.0000 7.0668 0.0000
0.0000 0.0000 7.0668
Ca Sc Pt
4 2 4
Direct
0.5000 0.6688 0.8312
0.5000 0.1688 0.6688
0.5000 0.8312 0.3312
0.5000 0.3312 0.1688
0.0000 0.5000 0.5000
0.0000 0.0000 0.0000
0.0000 0.1347 0.3653
0.0000 0.6347 0.1347
0.0000 0.3653 0.8653
0.0000 0.8653 0.6347

***

[12]
meta-GGA SCAN CaSc2Pt2, PBEsol geometry; calculated formation energy = -1.201 eV/atom; final energy = -36.91 eV per atom
1.0
-2.6654 -3.2779 -1.0978
1.2146 0.4098 -4.1726
4.9633 -2.3023 3.5018
Ca Sc Pt
1 2 2
Direct
0.0000 0.0000 0.0000
0.2500 0.7500 0.5000
0.7500 0.2500 0.5000
0.6148 0.6148 0.2297
0.3852 0.3852 0.7703

***

[13]
meta-GGA SCAN CaSc2Pt, PBEsol geometry; calculated formation energy = -0.368 eV/atom; final energy = -27.45 eV per atom
1.0
4.1334 0.0000 0.0000
0.0000 4.1334 0.0000
-2.0667 -2.0667 4.8710
Pt Sc Ca
1 2 1
Direct
0.2500 0.7500 0.5000
0.7500 0.2500 0.5000
0.0000 0.0000 0.0000
0.5000 0.5000 0.0000

***

[14]
meta-GGA SCAN CaPtSe2, PBEsol geometry; raw formation energy = -0.4780 eV per atom; final energy = -30.48 eV per atom
1.0
3.8046 0.0000 0.0000
1.9023 3.2949 0.0000
1.9023 1.0983 8.2555
Se Ca Pt
2 1 1
Direct
0.8845 0.8845 0.3465
0.1155 0.1155 0.6535
0.0000 0.0000 0.0000
0.5000 0.5000 0.5000

***

[15]
meta-GGA SCAN CaPt3Se, PBEsol geometry; raw formation energy = 1.5773 eV per atom; final energy = -46.49 eV per atom
1.0
-2.3577 1.1134 4.0756
-4.2174 -0.3413 -2.3464
-0.2524 -4.6960 1.1368
Pt Se Ca
3 1 1
Direct
0.0000 0.0000 0.5000
0.0000 0.5000 0.0000
0.5000 0.0000 0.0000
0.5000 0.5000 0.5000
0.0000 0.0000 0.0000

***

[16]
meta-GGA SCAN Ca3PtSe, PBEsol geometry; raw formation energy = -0.8599 eV per atom; final energy = -24.71 eV per atom
1.0
5.3894 0.0000 0.0000
0.0000 5.3894 0.0000
0.0000 0.0000 5.3894
Ca Se Pt
3 1 1
Direct
0.0000 0.0000 0.5000
0.0000 0.5000 0.0000
0.5000 0.0000 0.0000
0.5000 0.5000 0.5000
0.0000 0.0000 0.0000

***

[17]
meta-GGA SCAN Ca2PtSe, PBEsol geometry; raw formation energy = -1.4881 eV per atom; final energy = -28.89 eV per atom
1.0
-3.0892 2.4364 -1.1812
-1.9326 -3.2372 -1.6230
-2.6853 -0.9430 5.0782
Ca Se Pt
2 1 1
Direct
0.8755 0.5000 0.0000
0.3747 0.0000 0.5000
0.8746 0.5000 0.5000
0.3752 0.0000 0.0000

***

[18]
meta-GGA SCAN SrCaPtSe2, PBEsol geometry; raw formation energy = -0.5595 eV per atom; final energy = -29.02 eV per atom
1.0
-2.3785 2.8273 -3.5479
0.7103 -3.8305 -3.5287
-4.6008 -2.1305 1.3866
Ca Sr Se Pt
1 1 2 1
Direct
0.5000 0.5000 0.5000
0.5000 0.0000 0.0000
0.0000 0.5000 0.0000
0.0000 0.0000 0.5000
0.0000 0.0000 0.0000

***

[19]
meta-GGA SCAN Ca2SiPt, PBEsol geometry; raw formation energy = -0.8914 eV per atom; final energy = -25.78 eV per atom
1.0
-0.8668 -4.0348 -1.1870
3.5272 0.0631 -2.7902
1.1504 -1.7300 5.0403
Ca Pt Si
2 1 1
Direct
0.0000 0.9771 0.9542
0.5000 0.2700 0.5401
0.0000 0.6754 0.3509
0.5000 0.5778 0.1556

***

[20]
meta-GGA SCAN CaSiPt2, PBEsol geometry; raw formation energy = -0.5660 eV per atom; final energy = -40.58 eV per atom
1.0
3.8317 0.0000 0.0000
0.0000 4.1265 0.0000
0.0000 0.0000 4.1265
Ca Pt Si
1 2 1
Direct
0.5000 0.0000 0.0000
0.0000 0.0000 0.5000
0.0000 0.5000 0.0000
0.5000 0.5000 0.5000

***

[21]
meta-GGA SCAN Ca10Si3Pt7, PBEsol geometry; raw formation energy = -1.0674 eV per atom; final energy = -31.97 eV per atom
1.0
8.6961 0.0000 0.0000
-4.3480 7.5310 0.0000
0.0000 0.0000 13.6569
Ca Pt Si
20 14 6
Direct
0.0000 0.7408 0.1070
0.2592 0.2592 0.1070
0.2592 0.2592 0.3930
0.2592 0.0000 0.6070
0.0000 0.7408 0.3930
0.6667 0.3333 0.5000
0.7408 0.7408 0.6070
0.3333 0.6667 0.0000
0.6667 0.3333 0.7500
0.7408 0.0000 0.1070
0.2592 0.0000 0.8930
0.7408 0.0000 0.3930
0.6667 0.3333 0.2500
0.3333 0.6667 0.7500
0.6667 0.3333 0.0000
0.7408 0.7408 0.8930
0.3333 0.6667 0.5000
0.0000 0.2592 0.6070
0.0000 0.2592 0.8930
0.3333 0.6667 0.2500
0.0000 0.4088 0.0959
0.4088 0.4088 0.5959
0.5912 0.0000 0.5959
0.0000 0.0000 0.7500
0.5912 0.5912 0.0959
0.4088 0.4088 0.9041
0.5912 0.0000 0.9041
0.4088 0.0000 0.4041
0.5912 0.5912 0.4041
0.0000 0.0000 0.2500
0.0000 0.4088 0.4041
0.0000 0.5912 0.5959
0.4088 0.0000 0.0959
0.0000 0.5912 0.9041
0.0000 0.2852 0.2500
0.7148 0.0000 0.7500
0.2852 0.2852 0.7500
0.0000 0.7148 0.7500
0.2852 0.0000 0.2500
0.7148 0.7148 0.2500

***

[22]
meta-GGA SCAN Ca2Si2Pt, PBEsol geometry; raw formation energy = -0.8278 eV per atom; final energy = -22.74 eV per atom
1.0
4.6434 0.0000 0.0000
0.0000 6.4506 0.0000
0.0000 0.0000 6.4506
Pt Si Ca
2 4 4
Direct
0.0000 0.0000 0.0000
0.0000 0.5000 0.5000
0.0000 0.1343 0.3657
0.0000 0.6343 0.1343
0.0000 0.3657 0.8657
0.0000 0.8657 0.6343
0.5000 0.1731 0.6731
0.5000 0.6731 0.8269
0.5000 0.3269 0.1731
0.5000 0.8269 0.3269

***

[23]
meta-GGA SCAN Ca2SiPt, PBEsol geometry; raw formation energy = -0.7521 eV per atom; final energy = -25.64 eV per atom
1.0
3.4676 0.0000 0.0000
0.0000 4.8429 -0.0664
-1.7338 -2.3572 5.2817
Pt Si Ca
1 1 2
Direct
0.5425 0.5430 0.0850
0.1965 0.6959 0.3929
0.9823 0.9825 0.9646
0.7788 0.2786 0.5575

***

[24]
meta-GGA SCAN Ca2Si5Pt3, PBEsol geometry; raw formation energy = -0.9659 eV per atom; final energy = -28.96 eV per atom
1.0
-5.7473 0.3082 -1.3011
-3.8533 -6.9187 2.0013
-4.4141 1.9711 6.5842
Si Ca Pt
10 4 6
Direct
0.1106 0.5406 0.2382
0.0211 0.7289 0.7289
0.7500 0.0000 0.0000
0.5211 0.7289 0.7289
0.8894 0.4594 0.7618
0.4789 0.2711 0.2711
0.9789 0.2711 0.2711
0.2500 0.0000 0.0000
0.6106 0.2382 0.5406
0.3894 0.7618 0.4594
0.3704 0.3621 0.8970
0.6296 0.6379 0.1030
0.8704 0.8970 0.3621
0.1296 0.1030 0.6379
0.7500 0.5000 0.5000
0.3636 0.0216 0.2513
0.2500 0.5000 0.5000
0.8636 0.2513 0.0216
0.1364 0.7487 0.9784
0.6364 0.9784 0.7487

***

[25]
meta-GGA SCAN CaSiPt2, PBEsol geometry; raw formation energy = -0.6451 eV per atom; final energy = -40.66 eV per atom
1.0
-2.7749 0.8001 -1.8440
1.4510 -1.3782 -2.7813
-2.4338 -5.3069 1.3599
Pt Ca Si
2 1 1
Direct
0.0000 0.0000 0.0264
0.5000 0.5000 0.2891
0.5000 0.5000 0.7637
0.0000 0.0000 0.4208

***

[26]
meta-GGA SCAN CaSiPt3, PBEsol geometry; raw formation energy = -0.6217 eV per atom; final energy = -46.67 eV per atom
1.0
4.5596 0.0000 0.0000
0.0000 4.5596 0.0000
0.0000 0.0000 4.5596
Pt Ca Si
3 1 1
Direct
0.0000 0.0000 0.5000
0.5000 0.0000 0.0000
0.0000 0.5000 0.0000
0.5000 0.5000 0.5000
0.0000 0.0000 0.0000

***

Computed magnetic moment, in the same sequence as the records: 0.000 0.000 0.872 0.000 0.002 1.091 4.300 0.000 1.898 0.000 0.000 0.000 0.001 0.000 0.000 0.000 0.000 0.000 0.000 0.000 0.000 0.000 0.000 0.000 0.000 0.000 μB/cell.